Material: LiNd4S5
Method: DFT, PBE
State: optimized geometry

Summary:
The calculation puts the polymorph energy (0 for the lowest one) at 0.178 eV per formula unit. The density comes out at 5.34 Mg/m³. As for the crystal system: trigonal.

a b c (Å): 4.0537 4.0537 48.7908
angles (deg): 90.00 90.00 120.00
With the nearest neighbours (Å) after each atom.
Space group R-3m (No. 166, hexagonal axes)
Unique sites:
Li1 0.0000 0.0000 0.0000  6 S 2.78
Nd1 0.0000 0.0000 0.2010  6 S 2.88
Nd2 0.0000 0.0000 0.3967  6 S 2.83-2.88
S1 0.0000 0.0000 0.0979  6 Nd 2.88
S2 0.0000 0.0000 0.3026  3 Li 2.78, 3 Nd 2.83
S3 0.0000 0.0000 0.5000  6 Nd 2.88